PrH2Pd: optimized geometry, PBE-GGA.

The structure in POSCAR format:
```
PrH2Pd
1.0
5.8978 0.0000 0.0000
0.0000 6.6851 0.0000
-0.9823 0.0000 5.5135
Pr H Pd
4 8 4
Cartesian
0.9441 0.5624 1.9327 Pr
0.4530 2.7801 4.6895 Pr
4.4625 3.9050 0.8240 Pr
3.9714 6.1226 3.5808 Pr
-0.5833 4.9858 5.0827 H
-0.0922 5.0418 2.3259 H
2.1921 4.4568 4.0747 H
2.6832 5.5708 1.3180 H
2.2322 1.1143 4.1955 H
2.7234 2.2283 1.4388 H
5.0076 1.6433 3.1876 H
5.4988 1.6992 0.4308 H
1.5744 4.3038 2.2550 Pd
1.0833 5.7238 5.0117 Pd
3.8322 0.9613 0.5018 Pd
3.3411 2.3812 3.2585 Pd
```

Output
- V: 13.59 A^3/atom
- Calculated total energy: -4.63 eV per atom
- SG: P2_1/c (14)
- Total magnetic moment: 0.00 μB per atom
- Distance to the lowest polymorph of the same formula: 0.054 eV/atom